1.
! Nb2CuSn2 (PBE-GGA, relaxed); values from VASP
&SYSTEM
  ibrav = 0, nat = 10, ntyp = 3
/
ATOMIC_SPECIES
Nb 92.91 Nb.upf
Sn 118.71 Sn.upf
Cu 63.55 Cu.upf
CELL_PARAMETERS angstrom
-2.615 6.608 0.299
-4.675 -1.619 -5.111
-2.570 -1.140 2.711
ATOMIC_POSITIONS crystal
Nb 0.349 0.151 0.500
Sn 0.851 0.649 0.000
Sn 0.649 0.149 0.000
Sn 0.149 0.351 0.000
Nb 0.651 0.849 0.500
Cu 0.000 0.000 0.000
Nb 0.849 0.349 0.500
Cu 0.500 0.500 0.000
Sn 0.351 0.851 0.000
Nb 0.151 0.651 0.500
! E_form, meV/atom: 228
! SG: P4/mbm
! Calculated total energy, eV/cell: -62.2
! Offset from the most stable computed form, eV per atom: 0.0734
! Density of states at the Fermi level, states/eV per cell: 7.85


2.
! ZrCu2Te2 (PBE-GGA, relaxed); values from VASP
&SYSTEM
  ibrav = 0, nat = 5, ntyp = 3
/
ATOMIC_SPECIES
Cu 63.55 Cu.upf
Zr 91.22 Zr.upf
Te 127.60 Te.upf
CELL_PARAMETERS angstrom
-2.365 2.793 0.507
-1.249 -0.432 -3.450
-6.896 -3.570 0.966
ATOMIC_POSITIONS crystal
Cu 0.250 0.750 0.500
Zr 0.000 0.000 0.000
Cu 0.750 0.250 0.500
Te 0.611 0.611 0.777
Te 0.389 0.389 0.223
! Formation energy without anion corrections, meV/atom: -178
! SG: I4/mmm
! Calculated total energy, eV/cell: -23.9
! Density of states at the Fermi level, states/eV per cell: 0.99


3.
! Tb12Pm3Pu (PBE-GGA, relaxed); values from VASP
&SYSTEM
  ibrav = 0, nat = 16, ntyp = 3
/
ATOMIC_SPECIES
Pm 145.00 Pm.upf
Tb 158.93 Tb.upf
Pu 244.00 Pu.upf
CELL_PARAMETERS angstrom
-0.045 3.489 -3.647
-3.017 -2.943 -2.777
-16.154 8.605 8.432
ATOMIC_POSITIONS crystal
Pm 0.000 0.000 0.247
Tb 0.500 0.000 0.627
Pu 0.000 0.000 0.000
Pm 0.000 0.000 0.753
Tb 0.000 0.500 0.627
Tb 0.000 0.500 0.880
Tb 0.500 0.000 0.120
Tb 0.500 0.000 0.373
Tb 0.500 0.500 0.752
Tb 0.500 0.500 0.248
Tb 0.000 0.500 0.373
Tb 0.000 0.500 0.120
Tb 0.500 0.500 0.000
Tb 0.500 0.000 0.880
Pm 0.000 0.000 0.500
Tb 0.500 0.500 0.500
! E_form, meV/atom: 41
! SG: P4/mmm
! Calculated total energy, eV/cell: -83.5
! Density of states at the Fermi level, states/eV per cell: 29.80